The following is a DFT calculation (PBE+U) of a relaxed structure of LiAl2V4O8.

```
LiAl2V4O8
1.0
-3.0791 3.1260 4.1948
3.0791 -3.1260 4.1948
3.0791 3.1260 -4.1948
Li Al V O
1 2 4 8
direct
0.0000 0.0000 0.0000
0.3827 0.6264 0.7563
0.8701 0.6264 0.2437
0.4028 0.1319 0.2709
0.8611 0.1319 0.7291
0.8674 0.1445 0.2771
0.8674 0.5904 0.7229
0.0649 0.8529 0.2119
0.1172 0.3852 0.2680
0.1172 0.8492 0.7320
0.1306 0.3967 0.7338
0.6228 0.3956 0.7729
0.6228 0.8499 0.2271
0.6410 0.8529 0.7881
0.6629 0.3967 0.2662
```

Computed properties:
* energy above the most stable polymorph in this dataset: 425.8 meV per atom
* DFT total energy: -6.9447 eV/atom
* space-group type: No. 44